Cd5Ag4Rh | GGA-PBE | optimized geometry Values from VASP.

Properties
The energy above the most stable polymorph in this dataset comes out at 186.8 meV per atom. As for the formation energy: 124 meV/atom. As for the total energy: -22.09 eV/cell. The calculation puts the mass density at 8.79 g cm⁻³.

```
&SYSTEM
  ibrav = 0, nat = 10, ntyp = 3
/
ATOMIC_SPECIES
Ag 107.87 Ag.upf
Cd 112.41 Cd.upf
Rh 102.91 Rh.upf
ATOMIC_POSITIONS crystal
Ag 0.512 0.611 0.266
Cd 0.845 0.368 0.869
Ag 0.389 0.389 0.734
Ag 0.123 0.266 0.389
Rh 0.194 0.000 0.000
Cd 0.715 0.131 0.368
Ag 0.778 0.734 0.611
Cd 0.659 0.000 0.000
Cd 0.213 0.869 0.632
Cd 0.083 0.632 0.131
CELL_PARAMETERS angstrom
-5.043 -2.441 -0.297
-1.791 -3.412 5.471
-5.082 3.791 2.139
```

TlZn4Sb | GGA-PBE | optimized geometry Values from VASP.

Properties
As for the uncorrected formation energy: 0.152 eV/atom. As for the total energy: -10.67 eV/cell. The calculation puts the mass density at 8.06 g cm⁻³.

```
&SYSTEM
  ibrav = 0, nat = 6, ntyp = 3
/
ATOMIC_SPECIES
Zn 65.41 Zn.upf
Tl 204.38 Tl.upf
Sb 121.76 Sb.upf
ATOMIC_POSITIONS crystal
Zn 0.874 0.375 0.375
Tl 0.000 0.000 0.000
Zn 0.375 0.375 0.375
Zn 0.375 0.874 0.375
Sb 0.750 0.750 0.750
Zn 0.375 0.375 0.874
CELL_PARAMETERS angstrom
0.000 3.926 3.926
3.926 0.000 3.926
3.926 3.926 0.000
```

Cs2CaIBr3 | GGA-PBE | optimized geometry Values from VASP.

Properties
As for the uncorrected formation energy: -1.818 eV/atom. As for the total energy: -23.00 eV/cell. The calculation puts the mass density at 3.43 g cm⁻³.

```
&SYSTEM
  ibrav = 0, nat = 7, ntyp = 4
/
ATOMIC_SPECIES
Br 79.90 Br.upf
Cs 132.91 Cs.upf
I 126.90 I.upf
Ca 40.08 Ca.upf
ATOMIC_POSITIONS crystal
Br 0.159 0.159 0.317
Cs 0.355 0.355 0.709
I 0.500 0.000 0.000
Ca 0.000 0.000 0.000
Br 0.000 0.500 0.000
Cs 0.645 0.645 0.291
Br 0.841 0.841 0.683
CELL_PARAMETERS angstrom
6.162 0.000 0.000
0.000 5.783 0.000
-3.081 -2.892 9.126
```

Co2NiSb | GGA-PBE | optimized geometry Values from VASP.

Properties
As for the uncorrected formation energy: 0.173 eV/atom. As for the total energy: -23.42 eV/cell. The calculation puts the mass density at 9.13 g cm⁻³.

```
&SYSTEM
  ibrav = 0, nat = 4, ntyp = 3
/
ATOMIC_SPECIES
Sb 121.76 Sb.upf
Co 58.93 Co.upf
Ni 58.69 Ni.upf
ATOMIC_POSITIONS crystal
Sb 0.500 0.755 0.745
Co 0.000 0.972 0.028
Co 0.500 0.259 0.241
Ni 0.000 0.514 0.486
CELL_PARAMETERS angstrom
-1.291 -0.239 3.234
-1.393 -2.489 -0.740
2.821 -5.298 0.734
```

NdDy4Er8 | GGA-PBE | optimized geometry Values from VASP.

Properties
As for the formation energy: 205 meV/atom. As for the total energy: -57.01 eV/cell. The calculation puts the mass density at 8.67 g cm⁻³.

```
&SYSTEM
  ibrav = 0, nat = 13, ntyp = 3
/
ATOMIC_SPECIES
Dy 162.50 Dy.upf
Er 167.26 Er.upf
Nd 144.24 Nd.upf
ATOMIC_POSITIONS crystal
Dy 0.500 0.500 0.000
Er 0.499 0.249 0.306
Er 0.056 0.807 0.306
Dy 0.500 0.000 0.000
Er 0.056 0.249 0.306
Dy 0.000 0.000 0.000
Er 0.944 0.193 0.694
Er 0.564 0.782 0.345
Nd 0.000 0.500 0.500
Er 0.436 0.218 0.655
Dy 0.000 0.500 0.000
Er 0.501 0.751 0.694
Er 0.944 0.751 0.694
CELL_PARAMETERS angstrom
1.401 -7.102 -0.521
3.772 4.112 4.641
-8.241 1.702 5.190
```

ZrScNi6 | GGA-PBE | optimized geometry Values from VASP.

Properties
As for the formation energy: -428 meV/atom. As for the total energy: -211.97 eV/cell. The calculation puts the mass density at 7.80 g cm⁻³.

```
&SYSTEM
  ibrav = 0, nat = 32, ntyp = 3
/
ATOMIC_SPECIES
Ni 58.69 Ni.upf
Zr 91.22 Zr.upf
Sc 44.96 Sc.upf
ATOMIC_POSITIONS crystal
Ni 0.751 0.249 0.499
Ni 0.875 0.626 0.625
Ni 0.375 0.124 0.374
Ni 0.500 0.500 0.250
Zr 0.500 0.500 0.498
Sc 0.000 0.000 0.002
Ni 0.500 0.500 0.750
Ni 0.626 0.875 0.625
Ni 0.374 0.125 0.625
Ni 0.625 0.876 0.374
Ni 0.124 0.375 0.374
Sc 0.749 0.251 0.250
Ni 0.375 0.124 0.126
Ni 0.249 0.751 0.499
Ni 0.125 0.374 0.625
Ni 0.876 0.625 0.374
Ni 0.625 0.876 0.126
Zr 0.500 0.500 0.002
Zr 0.749 0.251 0.750
Zr 0.251 0.749 0.750
Ni 0.875 0.626 0.875
Ni 0.374 0.125 0.875
Ni 0.000 0.000 0.750
Ni 0.751 0.249 0.001
Ni 0.249 0.751 0.001
Sc 0.251 0.749 0.250
Ni 0.000 0.000 0.250
Ni 0.876 0.625 0.126
Ni 0.626 0.875 0.875
Sc 0.000 0.000 0.498
Ni 0.125 0.374 0.875
Ni 0.124 0.375 0.126
CELL_PARAMETERS angstrom
-2.111 -0.914 6.041
6.440 0.561 0.009
-0.912 10.452 1.262
```

Tb6Ni2Sn | GGA-PBE | optimized geometry Values from VASP.

Properties
As for the formation energy: -394 meV/atom. As for the total energy: -93.79 eV/cell. The calculation puts the mass density at 8.49 g cm⁻³.

```
&SYSTEM
  ibrav = 0, nat = 18, ntyp = 3
/
ATOMIC_SPECIES
Tb 158.93 Tb.upf
Ni 58.69 Ni.upf
Sn 118.71 Sn.upf
ATOMIC_POSITIONS crystal
Tb 0.690 0.365 0.675
Tb 0.690 0.015 0.325
Tb 0.797 0.232 0.029
Ni 0.351 0.000 0.351
Tb 0.526 0.708 0.818
Tb 0.203 0.232 0.435
Sn 0.000 0.500 0.500
Sn 0.000 0.000 0.000
Tb 0.110 0.292 0.818
Tb 0.203 0.768 0.971
Tb 0.474 0.292 0.182
Tb 0.890 0.708 0.182
Ni 0.500 0.622 0.122
Ni 0.649 0.000 0.649
Ni 0.500 0.378 0.878
Tb 0.310 0.985 0.675
Tb 0.797 0.768 0.565
Tb 0.310 0.635 0.325
CELL_PARAMETERS angstrom
-4.848 -4.806 -5.013
8.298 -1.133 -1.262
-1.418 -2.081 8.086
```

NdBOs | GGA-PBE | optimized geometry Values from VASP.

Properties
The energy above the most stable polymorph in this dataset comes out at 0.0 meV per atom. As for the formation energy: -254 meV/atom. As for the total energy: -23.44 eV/cell. The calculation puts the mass density at 10.80 g cm⁻³.

```
&SYSTEM
  ibrav = 0, nat = 3, ntyp = 3
/
ATOMIC_SPECIES
Os 190.23 Os.upf
Nd 144.24 Nd.upf
B 10.81 B.upf
ATOMIC_POSITIONS crystal
Os 0.167 0.333 0.667
Nd 0.667 0.667 0.333
B 0.167 0.000 0.000
CELL_PARAMETERS angstrom
4.498 0.000 0.000
0.000 3.692 0.000
0.000 -1.846 3.197
```

KH7Ir2 | GGA-PBE | optimized geometry Values from VASP.

Properties
As for the total energy: -42.98 eV/cell. The calculation puts the mass density at 7.85 g cm⁻³.

```
&SYSTEM
  ibrav = 0, nat = 10, ntyp = 3
/
ATOMIC_SPECIES
H 1.01 H.upf
K 39.10 K.upf
Ir 192.22 Ir.upf
ATOMIC_POSITIONS crystal
H 0.500 0.962 0.305
K 0.000 0.000 0.000
Ir 0.500 0.314 0.628
H 0.500 0.500 0.000
H 0.500 0.038 0.695
H 0.500 0.343 0.305
H 0.000 0.677 0.354
H 0.500 0.657 0.695
H 0.000 0.323 0.646
Ir 0.500 0.686 0.372
CELL_PARAMETERS angstrom
3.548 0.000 0.000
0.000 4.734 -2.583
0.000 -0.086 5.471
```

Pm2GeAsRh6 | GGA-PBE | optimized geometry Values from VASP.

Properties
As for the formation energy: -577 meV/atom. As for the total energy: -137.30 eV/cell. The calculation puts the mass density at 9.16 g cm⁻³.

```
&SYSTEM
  ibrav = 0, nat = 20, ntyp = 4
/
ATOMIC_SPECIES
Ge 72.64 Ge.upf
Rh 102.91 Rh.upf
As 74.92 As.upf
Pm 145.00 Pm.upf
ATOMIC_POSITIONS crystal
Ge 0.500 0.262 0.000
Rh 0.749 0.007 0.000
Rh 0.254 0.512 0.000
Rh 0.751 0.993 0.500
As 0.500 0.247 0.500
Rh 0.246 0.488 0.500
Rh 0.500 0.091 0.750
Ge 0.000 0.738 0.500
Rh 0.249 0.993 0.500
Rh 0.500 0.091 0.250
Rh 0.000 0.909 0.750
Rh 0.754 0.488 0.500
Pm 0.500 0.716 0.741
Rh 0.000 0.909 0.250
Pm 0.000 0.284 0.759
Pm 0.000 0.284 0.241
Rh 0.251 0.007 0.000
Pm 0.500 0.716 0.259
Rh 0.746 0.512 0.000
As 0.000 0.753 0.000
CELL_PARAMETERS angstrom
-4.940 -1.818 -1.454
3.415 -4.999 -5.353
0.483 -6.171 6.072
```

YPb | GGA-PBE | optimized geometry Values from VASP.

Properties
As for the formation energy: 396 meV/atom. As for the total energy: -75.04 eV/cell. The calculation puts the mass density at 4.33 g cm⁻³.

```
&SYSTEM
  ibrav = 0, nat = 16, ntyp = 2
/
ATOMIC_SPECIES
Y 88.91 Y.upf
Pb 207.20 Pb.upf
ATOMIC_POSITIONS crystal
Y 0.362 0.362 0.638
Pb 0.820 0.180 0.180
Y 0.362 0.638 0.362
Pb 0.680 0.320 0.680
Pb 0.320 0.680 0.680
Y 0.862 0.862 0.138
Y 0.862 0.138 0.862
Y 0.638 0.362 0.362
Pb 0.180 0.820 0.180
Y 0.138 0.138 0.138
Pb 0.180 0.180 0.820
Pb 0.680 0.680 0.320
Y 0.138 0.862 0.862
Y 0.638 0.638 0.638
Pb 0.320 0.320 0.320
Pb 0.820 0.820 0.820
CELL_PARAMETERS angstrom
9.685 0.000 0.000
0.000 9.685 0.000
0.000 0.000 9.685
```

BaSc2Br | GGA-PBE | optimized geometry Values from VASP.

Properties
The energy above the most stable polymorph in this dataset comes out at 182.5 meV per atom. As for the uncorrected formation energy: -0.208 eV/atom. As for the total energy: -17.09 eV/cell. The calculation puts the mass density at 3.95 g cm⁻³.

```
&SYSTEM
  ibrav = 0, nat = 4, ntyp = 3
/
ATOMIC_SPECIES
Sc 44.96 Sc.upf
Br 79.90 Br.upf
Ba 137.33 Ba.upf
ATOMIC_POSITIONS crystal
Sc 0.711 0.711 0.878
Sc 0.974 0.974 0.963
Br 0.290 0.290 0.196
Ba 0.525 0.525 0.463
CELL_PARAMETERS angstrom
5.889 -0.003 0.008
4.840 3.356 0.008
1.541 0.482 6.523
```

TiV2Ga | GGA-PBE | optimized geometry Values from VASP.

Properties
As for the formation energy: -102 meV/atom. As for the total energy: -29.57 eV/cell. The calculation puts the mass density at 6.26 g cm⁻³.

```
&SYSTEM
  ibrav = 0, nat = 4, ntyp = 3
/
ATOMIC_SPECIES
V 50.94 V.upf
Ga 69.72 Ga.upf
Ti 47.87 Ti.upf
ATOMIC_POSITIONS crystal
V 0.000 0.000 0.246
Ga 0.500 0.500 0.000
Ti 0.500 0.500 0.500
V 0.000 0.000 0.754
CELL_PARAMETERS angstrom
3.204 0.000 0.000
0.000 3.204 0.000
0.000 0.000 5.675
```

Tb3Er6Zr | GGA-PBE | optimized geometry Values from VASP.

Properties
As for the formation energy: 152 meV/atom. As for the total energy: -96.60 eV/cell. The calculation puts the mass density at 8.46 g cm⁻³.

```
&SYSTEM
  ibrav = 0, nat = 20, ntyp = 3
/
ATOMIC_SPECIES
Zr 91.22 Zr.upf
Er 167.26 Er.upf
Tb 158.93 Tb.upf
ATOMIC_POSITIONS crystal
Zr 0.149 0.210 0.790
Er 0.878 0.957 0.541
Er 0.645 0.275 0.725
Er 0.878 0.459 0.043
Tb 0.063 0.386 0.614
Er 0.034 0.381 0.293
Er 0.145 0.725 0.275
Er 0.419 0.948 0.052
Er 0.034 0.707 0.619
Er 0.378 0.541 0.957
Er 0.534 0.619 0.707
Er 0.919 0.052 0.948
Er 0.378 0.043 0.459
Tb 0.943 0.056 0.282
Tb 0.943 0.718 0.944
Zr 0.649 0.790 0.210
Er 0.534 0.293 0.381
Tb 0.563 0.614 0.386
Tb 0.443 0.944 0.718
Tb 0.443 0.282 0.056
CELL_PARAMETERS angstrom
-0.190 1.744 5.823
-10.571 2.043 -0.957
3.310 -9.827 3.051
```

Pr6Y5Ho | GGA-PBE | optimized geometry Values from VASP.

Properties
The energy above the most stable polymorph in this dataset comes out at 0.0 meV per atom. As for the formation energy: 7 meV/atom. As for the total energy: -65.49 eV/cell. The calculation puts the mass density at 5.94 g cm⁻³.

```
&SYSTEM
  ibrav = 0, nat = 12, ntyp = 3
/
ATOMIC_SPECIES
Y 88.91 Y.upf
Pr 140.91 Pr.upf
Ho 164.93 Ho.upf
ATOMIC_POSITIONS crystal
Y 0.500 0.833 0.333
Y 0.000 0.333 0.333
Pr 0.750 0.083 0.332
Ho 0.000 0.000 0.000
Pr 0.750 0.416 0.668
Pr 0.250 0.917 0.668
Y 0.500 0.167 0.667
Pr 0.250 0.584 0.332
Pr 0.249 0.249 0.000
Y 0.500 0.500 0.000
Y 0.000 0.667 0.667
Pr 0.751 0.751 0.000
CELL_PARAMETERS angstrom
11.847 -1.307 0.000
1.793 6.066 0.000
0.896 3.033 5.478
```

Y4CuIr | GGA-PBE | optimized geometry Values from VASP.

Properties
The energy above the most stable polymorph in this dataset comes out at 0.0 meV per atom. As for the formation energy: -328 meV/atom. As for the total energy: -81.56 eV/cell. The calculation puts the mass density at 6.17 g cm⁻³.

```
&SYSTEM
  ibrav = 0, nat = 12, ntyp = 3
/
ATOMIC_SPECIES
Cu 63.55 Cu.upf
Y 88.91 Y.upf
Ir 192.22 Ir.upf
ATOMIC_POSITIONS crystal
Cu 0.000 0.500 0.500
Y 0.331 0.841 0.156
Y 0.653 0.659 0.667
Ir 0.000 0.000 0.000
Ir 0.500 0.500 0.000
Y 0.831 0.659 0.156
Y 0.169 0.341 0.844
Cu 0.500 0.000 0.500
Y 0.669 0.159 0.844
Y 0.347 0.341 0.333
Y 0.153 0.841 0.667
Y 0.847 0.159 0.333
CELL_PARAMETERS angstrom
6.879 0.000 0.168
0.000 6.893 0.000
0.066 0.000 6.945
```

BeAlH2 | GGA-PBE | optimized geometry Values from VASP.

Properties
The energy above the most stable polymorph in this dataset comes out at 74.4 meV per atom. As for the total energy: -26.72 eV/cell. The calculation puts the mass density at 1.65 g cm⁻³.

```
&SYSTEM
  ibrav = 0, nat = 8, ntyp = 3
/
ATOMIC_SPECIES
H 1.01 H.upf
Al 26.98 Al.upf
Be 9.01 Be.upf
ATOMIC_POSITIONS crystal
H 0.299 0.426 0.598
Al 0.353 0.887 0.562
H 0.699 0.585 0.977
Be 0.896 0.179 0.460
Be 0.710 0.608 0.243
H 0.263 0.915 0.855
H 0.608 0.236 0.263
Al 0.089 0.507 0.950
CELL_PARAMETERS angstrom
-0.398 1.136 -3.883
-3.447 0.354 2.114
2.767 3.957 2.602
```

Sm7Dy16Sc6 | GGA-PBE | optimized geometry Values from VASP.

Properties
As for the formation energy: 295 meV/atom. As for the total energy: -136.11 eV/cell. The calculation puts the mass density at 6.89 g cm⁻³.

```
&SYSTEM
  ibrav = 0, nat = 29, ntyp = 3
/
ATOMIC_SPECIES
Dy 162.50 Dy.upf
Sm 150.36 Sm.upf
Sc 44.96 Sc.upf
ATOMIC_POSITIONS crystal
Dy 0.069 0.644 0.644
Dy 0.931 0.356 0.356
Dy 0.644 0.644 0.069
Sm 0.000 0.500 0.500
Sm 0.500 0.000 0.000
Dy 0.619 0.127 0.127
Dy 0.873 0.873 0.381
Sc 0.253 0.747 0.253
Dy 0.873 0.873 0.873
Dy 0.127 0.127 0.127
Sm 0.500 0.000 0.500
Dy 0.644 0.069 0.644
Dy 0.356 0.356 0.931
Sc 0.253 0.253 0.747
Dy 0.381 0.873 0.873
Sc 0.747 0.253 0.253
Dy 0.873 0.381 0.873
Dy 0.356 0.931 0.356
Dy 0.127 0.127 0.619
Sc 0.253 0.747 0.747
Sm 0.000 0.500 0.000
Sm 0.000 0.000 0.500
Sc 0.747 0.747 0.253
Dy 0.356 0.356 0.356
Sc 0.747 0.253 0.747
Sm 0.000 0.000 0.000
Sm 0.500 0.500 0.000
Dy 0.644 0.644 0.644
Dy 0.127 0.619 0.127
CELL_PARAMETERS angstrom
9.542 0.000 5.509
3.181 8.996 5.509
0.000 0.000 11.018
```

Np2SiP | GGA-PBE | optimized geometry Values from VASP.

Properties
The energy above the most stable polymorph in this dataset comes out at 0.0 meV per atom. As for the uncorrected formation energy: -0.357 eV/atom. As for the total energy: -38.14 eV/cell. The calculation puts the mass density at 11.29 g cm⁻³.

```
&SYSTEM
  ibrav = 0, nat = 4, ntyp = 3
/
ATOMIC_SPECIES
P 30.97 P.upf
Np 237.00 Np.upf
Si 28.09 Si.upf
ATOMIC_POSITIONS crystal
P 0.500 0.500 0.000
Np 0.000 0.000 0.233
Si 0.500 0.500 0.500
Np 0.000 0.000 0.767
CELL_PARAMETERS angstrom
3.274 0.000 0.000
0.000 3.274 0.000
0.000 0.000 7.315
```

DyNiGe2Ir | GGA-PBE | optimized geometry Values from VASP.

Properties
As for the formation energy: -674 meV/atom. As for the total energy: -31.85 eV/cell. The calculation puts the mass density at 10.79 g cm⁻³.

```
&SYSTEM
  ibrav = 0, nat = 5, ntyp = 4
/
ATOMIC_SPECIES
Dy 162.50 Dy.upf
Ge 72.64 Ge.upf
Ni 58.69 Ni.upf
Ir 192.22 Ir.upf
ATOMIC_POSITIONS crystal
Dy 0.000 0.000 0.000
Ge 0.378 0.378 0.757
Ge 0.622 0.622 0.243
Ni 0.750 0.250 0.500
Ir 0.250 0.750 0.500
CELL_PARAMETERS angstrom
4.090 0.000 0.000
0.000 4.090 0.000
-2.045 -2.045 5.141
```

Th5Ga | GGA-PBE | optimized geometry Values from VASP.

Properties
As for the formation energy: -62 meV/atom. As for the total energy: -40.50 eV/cell. The calculation puts the mass density at 11.39 g cm⁻³.

```
&SYSTEM
  ibrav = 0, nat = 6, ntyp = 2
/
ATOMIC_SPECIES
Th 232.04 Th.upf
Ga 69.72 Ga.upf
ATOMIC_POSITIONS crystal
Th 0.000 0.340 0.679
Th 0.500 0.500 0.000
Th 0.000 0.660 0.321
Th 0.500 0.838 0.677
Ga 0.000 0.000 0.000
Th 0.500 0.162 0.323
CELL_PARAMETERS angstrom
-2.864 -0.062 -3.916
-3.600 -1.945 2.664
-0.687 7.915 0.377
```